# 1
The following is a meta-GGA SCAN calculation of a crystal of InTe2H relaxed with PBEsol, from Alexandria via LeMat-Bulk.

POSCAR file:
```
InTe2H
1.0
0.000 3.523 3.523
3.523 0.000 3.523
3.523 3.523 0.000
In Te H
1 2 1
Direct
0.000 0.000 0.000
0.250 0.250 0.250
0.750 0.750 0.750
0.500 0.500 0.500
```

theoretical density: 7.0 Mg/m³
SG: Fm-3m
energy: -27.272 eV/atom



# 2
The following is a meta-GGA SCAN calculation of a crystal of CaCdMo2 relaxed with PBEsol, from Alexandria via LeMat-Bulk.

POSCAR file:
```
CaCdMo2
1.0
1.439 0.831 10.264
-1.439 0.831 10.264
0.000 -1.661 10.264
Ca Cd Mo
1 1 2
Direct
0.000 0.000 0.000
0.500 0.500 0.500
0.246 0.246 0.246
0.754 0.754 0.754
```

theoretical density: 7.8 Mg/m³
SG: R-3m
E_form: 0.853 eV per atom



# 3
The following is a meta-GGA SCAN calculation of a crystal of CaScB2 relaxed with PBEsol, from Alexandria via LeMat-Bulk.

POSCAR file:
```
CaScB2
1.0
0.000 3.069 3.069
3.069 0.000 3.069
3.069 3.069 0.000
Ca Sc B
1 1 2
Direct
0.000 0.000 0.000
0.500 0.500 0.500
0.250 0.250 0.250
0.750 0.750 0.750
```

theoretical density: 3.1 Mg/m³
SG: Fm-3m
E_form: 0.426 eV per atom



# 4
The following is a meta-GGA SCAN calculation of a crystal of TlTcAg2 relaxed with PBEsol, from Alexandria via LeMat-Bulk.

POSCAR file:
```
TlTcAg2
1.0
2.838 0.000 0.000
0.000 4.942 0.000
-0.193 0.000 4.977
Tl Tc Ag
1 1 2
Direct
0.000 0.000 0.000
0.500 0.000 0.500
0.232 0.500 0.738
0.768 0.500 0.262
```

theoretical density: 12.3 Mg/m³
relative energy among the computed polymorphs: 0 kJ/mol of formula units
SG: P2/m
E_form: 0.586 eV per atom



# 5
The following is a meta-GGA SCAN calculation of a crystal of Ti2SiAs relaxed with PBEsol, from Alexandria via LeMat-Bulk.

POSCAR file:
```
Ti2SiAs
1.0
0.000 3.122 3.122
3.122 0.000 3.122
3.122 3.122 0.000
Ti Si As
2 1 1
Direct
0.250 0.250 0.250
0.750 0.750 0.750
0.000 0.000 0.000
0.500 0.500 0.500
```

raw formation energy: -8.157 kcal/mol of atoms
theoretical density: 5.4 Mg/m³
SG: Fm-3m



# 6
The following is a meta-GGA SCAN calculation of a crystal of MoPt2Pb relaxed with PBEsol, from Alexandria via LeMat-Bulk.

POSCAR file:
```
MoPt2Pb
1.0
4.465 -1.510 0.000
4.465 1.510 0.000
-0.898 0.000 5.184
Mo Pt Pb
1 2 1
Direct
0.000 0.000 0.000
0.487 0.487 0.418
0.739 0.739 0.173
0.242 0.242 0.685
```

theoretical density: 16.5 Mg/m³
SG: Cm
E_form: 0.122 eV per atom



# 7
The following is a meta-GGA SCAN calculation of a crystal of Be4PbCl relaxed with PBEsol, from Alexandria via LeMat-Bulk.

POSCAR file:
```
Be4PbCl
1.0
0.000 3.493 3.493
3.493 0.000 3.493
3.493 3.493 0.000
Be Pb Cl
4 1 1
Direct
0.121 0.121 0.121
0.121 0.121 0.638
0.121 0.638 0.121
0.638 0.121 0.121
0.750 0.750 0.750
0.500 0.500 0.500
```

raw formation energy: 14.368 kcal/mol of atoms
theoretical density: 5.4 Mg/m³
SG: F-43m



# 8
The following is a meta-GGA SCAN calculation of a crystal of Zr3InTe relaxed with PBEsol, from Alexandria via LeMat-Bulk.

POSCAR file:
```
Zr3InTe
1.0
5.191 0.000 0.000
0.000 5.191 0.000
0.000 0.000 5.191
Zr In Te
3 1 1
Direct
0.000 0.000 0.500
0.000 0.500 0.000
0.500 0.000 0.000
0.500 0.500 0.500
0.000 0.000 0.000
```

raw formation energy: 9.612 kcal/mol of atoms
theoretical density: 6.1 Mg/m³
SG: Pm-3m



# 9
The following is a meta-GGA SCAN calculation of a crystal of HoGa3Ru relaxed with PBEsol, from Alexandria via LeMat-Bulk.

POSCAR file:
```
HoGa3Ru
1.0
6.313 0.000 0.000
0.000 6.313 0.000
0.000 0.000 6.313
Ho Ga Ru
3 9 3
Direct
0.000 0.000 0.500
0.000 0.500 0.000
0.500 0.000 0.000
0.000 0.000 0.000
0.289 0.289 0.289
0.289 0.289 0.711
0.289 0.711 0.289
0.289 0.711 0.711
0.711 0.289 0.289
0.711 0.289 0.711
0.711 0.711 0.289
0.711 0.711 0.711
0.000 0.500 0.500
0.500 0.000 0.500
0.500 0.500 0.000
```

theoretical density: 9.4 Mg/m³
SG: Pm-3m
E_form: -0.694 eV per atom



# 10
The following is a meta-GGA SCAN calculation of a crystal of Li2YScCu relaxed with PBEsol, from Alexandria via LeMat-Bulk.

POSCAR file:
```
Li2YScCu
1.0
4.949 0.000 0.000
0.000 4.949 0.000
0.000 0.000 5.043
Li Y Sc Cu
2 1 1 1
Direct
0.000 0.500 0.000
0.500 0.000 0.000
0.000 0.000 0.000
0.000 0.000 0.500
0.500 0.500 0.500
```

theoretical density: 2.8 Mg/m³
SG: P4/mmm
E_form: 1.460 eV per atom



# 11
The following is a meta-GGA SCAN calculation of a crystal of SrAg2Se relaxed with PBEsol, from Alexandria via LeMat-Bulk.

POSCAR file:
```
SrAg2Se
1.0
4.132 0.000 0.000
0.000 4.132 0.000
0.000 0.000 5.367
Sr Ag Se
1 2 1
Direct
0.000 0.000 0.000
0.000 0.500 0.500
0.500 0.000 0.500
0.500 0.500 0.000
```

raw formation energy: -14.122 kcal/mol of atoms
theoretical density: 6.9 Mg/m³
SG: P4/mmm



# 12
The following is a meta-GGA SCAN calculation of a crystal of LaRe relaxed with PBEsol, from Alexandria via LeMat-Bulk.

POSCAR file:
```
LaRe
1.0
1.639 0.946 4.612
-1.639 0.946 4.612
0.000 -1.893 4.612
La Re
1 1
Direct
0.000 0.000 0.000
0.500 0.500 0.500
```

theoretical density: 12.6 Mg/m³
relative energy among the computed polymorphs: 67 kJ/mol of formula units
SG: R-3m
E_form: 1.005 eV per atom



# 13
The following is a meta-GGA SCAN calculation of a crystal of TlFeSi2 relaxed with PBEsol, from Alexandria via LeMat-Bulk.

POSCAR file:
```
TlFeSi2
1.0
0.000 3.193 3.193
3.193 0.000 3.193
3.193 3.193 0.000
Tl Fe Si
1 1 2
Direct
0.000 0.000 0.000
0.750 0.750 0.750
0.250 0.250 0.250
0.500 0.500 0.500
```

raw formation energy: 20.530 kcal/mol of atoms
theoretical density: 8.1 Mg/m³
relative energy among the computed polymorphs: 148 kJ/mol of formula units
SG: F-43m



# 14
The following is a meta-GGA SCAN calculation of a crystal of ScHgI3 relaxed with PBEsol, from Alexandria via LeMat-Bulk.

POSCAR file:
```
ScHgI3
1.0
7.069 0.000 0.000
-3.476 6.158 0.000
-1.060 -1.752 9.144
Sc Hg I
2 2 6
Direct
0.168 0.332 0.000
0.832 0.668 0.000
0.360 0.135 0.500
0.640 0.865 0.500
0.098 0.946 0.816
0.206 0.705 0.181
0.445 0.599 0.815
0.555 0.401 0.185
0.794 0.295 0.819
0.902 0.054 0.184
```

raw formation energy: -23.916 kcal/mol of atoms
theoretical density: 5.2 Mg/m³
SG: P-1



# 15
The following is a meta-GGA SCAN calculation of a crystal of RuW2Br relaxed with PBEsol, from Alexandria via LeMat-Bulk.

POSCAR file:
```
RuW2Br
1.0
1.560 -2.387 0.000
1.560 2.387 0.000
0.000 0.000 8.773
Ru W Br
1 2 1
Direct
0.000 0.000 0.000
0.000 0.000 0.530
0.500 0.500 0.772
0.500 0.500 0.267
```

raw formation energy: 18.102 kcal/mol of atoms
theoretical density: 13.9 Mg/m³
relative energy among the computed polymorphs: 55 kJ/mol of formula units
SG: Cmm2



# 16
The following is a meta-GGA SCAN calculation of a crystal of BeTcCl3 relaxed with PBEsol, from Alexandria via LeMat-Bulk.

POSCAR file:
```
BeTcCl3
1.0
4.439 0.000 0.000
0.000 4.439 0.000
0.000 0.000 4.439
Be Tc Cl
1 1 3
Direct
0.000 0.000 0.000
0.500 0.500 0.500
0.000 0.000 0.500
0.000 0.500 0.000
0.500 0.000 0.000
```

raw formation energy: -1.254 kcal/mol of atoms
theoretical density: 4.0 Mg/m³
SG: Pm-3m



# 17
The following is a meta-GGA SCAN calculation of a crystal of ScCuMo2 relaxed with PBEsol, from Alexandria via LeMat-Bulk.

POSCAR file:
```
ScCuMo2
1.0
3.260 0.000 0.000
0.000 3.260 0.000
0.000 0.000 6.002
Sc Cu Mo
1 1 2
Direct
0.000 0.000 0.000
0.000 0.000 0.500
0.500 0.500 0.304
0.500 0.500 0.696
```

theoretical density: 7.8 Mg/m³
relative energy among the computed polymorphs: 68 kJ/mol of formula units
SG: P4/mmm
E_form: 0.343 eV per atom



# 18
The following is a meta-GGA SCAN calculation of a crystal of Zr2ReIr relaxed with PBEsol, from Alexandria via LeMat-Bulk.

POSCAR file:
```
Zr2ReIr
1.0
-1.689 2.212 4.648
1.689 -2.212 4.648
1.689 2.212 -4.648
Zr Re Ir
2 1 1
Direct
0.000 0.000 0.000
0.739 0.239 0.500
0.495 0.495 0.000
0.247 0.747 0.500
```

theoretical density: 13.4 Mg/m³
SG: Imm2
E_form: -0.478 eV per atom



# 19
The following is a meta-GGA SCAN calculation of a crystal of TiCdN2F relaxed with PBEsol, from Alexandria via LeMat-Bulk.

POSCAR file:
```
TiCdN2F
1.0
3.947 0.000 0.000
0.000 3.947 0.000
0.000 0.000 3.870
Ti Cd N F
1 1 2 1
Direct
0.000 0.000 0.000
0.500 0.500 0.500
0.000 0.500 0.000
0.500 0.000 0.000
0.000 0.000 0.500
```

raw formation energy: -20.063 kcal/mol of atoms
theoretical density: 5.7 Mg/m³
SG: P4/mmm



# 20
The following is a meta-GGA SCAN calculation of a crystal of CuSiGeI2 relaxed with PBEsol, from Alexandria via LeMat-Bulk.

POSCAR file:
```
CuSiGeI2
1.0
5.566 0.000 0.000
0.000 5.566 0.000
0.000 0.000 4.775
Cu Si Ge I
1 1 1 2
Direct
0.000 0.000 0.000
0.500 0.500 0.000
0.500 0.500 0.500
0.000 0.500 0.500
0.500 0.000 0.500
```

raw formation energy: 23.929 kcal/mol of atoms
theoretical density: 4.7 Mg/m³
SG: P4/mmm



| no. | calculated volume (A^3/atom) |
| --- | --- |
| 1 | 21.86 |
| 2 | 18.40 |
| 3 | 14.45 |
| 4 | 17.45 |
| 5 | 15.22 |
| 6 | 17.48 |
| 7 | 14.21 |
| 8 | 27.98 |
| 9 | 16.78 |
| 10 | 24.71 |
| 11 | 22.91 |
| 12 | 21.47 |
| 13 | 16.28 |
| 14 | 39.81 |
| 15 | 16.33 |
| 16 | 17.50 |
| 17 | 15.95 |
| 18 | 17.36 |
| 19 | 12.06 |
| 20 | 29.58 |